TeRuPt2: relaxed, GGA-PBE.

```
TeRuPt2
1.0
4.748 -0.364 -0.146
1.267 4.590 0.146
-2.924 -2.232 3.028
Pt Ru Te
2 1 1
Cartesian
6.014 4.226 0.000
2.416 -0.242 1.441
3.009 2.114 0.000
0.675 2.236 1.587
```

Calculated values
Crystal system: tetragonal
Uncorrected energy (eV for the cell shown): -23.66
E_form (uncorrected) (meV per atom): 210

=====

Te2RuPt: relaxed, GGA-PBE.

```
Te2RuPt
1.0
-2.751 2.512 -1.735
-2.270 -1.307 -3.167
-4.746 -2.212 4.308
Pt Ru Te
1 1 2
Cartesian
-4.732 -0.580 -0.042
-7.503 -0.691 -0.676
-4.820 -1.805 3.196
-2.341 -0.647 0.938
```

Calculated values
Crystal system: trigonal
Uncorrected energy (eV for the cell shown): -21.65
Energy above the lowest structure with this stoichiometry (eV/f.u.): 0.08
E_form (uncorrected) (meV per atom): -13

=====

Te2RuPt: relaxed, GGA-PBE.

```
Te2RuPt
1.0
-3.565 3.920 1.732
-1.430 0.087 5.387
4.687 -0.256 -3.007
Pt Ru Te
1 1 2
Cartesian
-2.497 2.003 3.560
-0.688 2.833 1.142
0.000 0.000 0.000
0.380 0.917 2.970
```

Calculated values
Crystal system: tetragonal
Uncorrected energy (eV for the cell shown): -19.96
Energy above the lowest structure with this stoichiometry (eV/f.u.): 1.77
E_form (uncorrected) (meV per atom): 410

=====

Te2RuPt: relaxed, GGA-PBE.

```
Te2RuPt
1.0
-0.865 1.648 4.465
-1.760 -2.980 3.379
2.804 -1.406 3.682
Pt Ru Te
1 1 2
Cartesian
0.090 -1.369 5.763
0.134 -2.053 8.645
0.000 0.000 0.000
0.045 -0.684 2.882
```

Calculated values
Crystal system: cubic
Uncorrected energy (eV for the cell shown): -18.77
Energy above the lowest structure with this stoichiometry (eV/f.u.): 2.96
E_form (uncorrected) (meV per atom): 707